Compound: ScFeAg2I
Source: Alexandria via LeMat-Bulk
Functional: GGA-PBE
Structure: optimized geometry

Lattice parameters (Å, degrees): 5.3969 5.3969 4.5577 90.00 90.00 90.00
Closest atoms and distances in Å follow each position.
Space group P4/mmm (No. 123)
Inequivalent atoms, fractional coordinates:
1 Sc 0.0000 0.0000 0.0000 (multiplicity 1)  2 Fe 2.28
2 Fe 0.0000 0.0000 0.5000 (multiplicity 1)  2 Sc 2.28
3 Ag 0.0000 0.5000 0.0000 (multiplicity 2)  2 Sc 2.70
4 I 0.5000 0.5000 0.5000 (multiplicity 1)  8 Ag 3.53, 4 Fe 3.82

Calculated values
Calculated volume in Å³ per atom: 26.550
Electronic total energy in eV/cell: -17.1
N(E_F) in states/eV per atom: 0.791